Here is an optimized crystal structure of Ba3LiBr from the Alexandria database. Energies are from GGA-PBE.

a = 6.4263 Å, b = 6.4263 Å, c = 6.4263 Å
α = 90.00°, β = 90.00°, γ = 90.00°
Site moments in Bohr magnetons follow the coordinates.
Element x y z (fractional)
Li 0.5000 0.5000 0.5000  0.01
Ba 0.0000 0.5000 0.0000  0.16
Ba 0.0000 0.0000 0.5000  0.17
Ba 0.5000 0.0000 0.0000  0.09
Br 0.0000 0.0000 0.0000  0.01

## Properties
Raw formation energy ... -0.4222 eV/atom
SG ... Pm-3m
Distance to the lowest polymorph of the same formula ... 0.0 kJ/mol of formula units
DFT total energy ... -11.47 eV per formula unit

---

Here is an optimized crystal structure of BaLiBr2 from the Alexandria database. Energies are from GGA-PBE.

a = 5.9089 Å, b = 5.9089 Å, c = 5.9089 Å
α = 139.56°, β = 114.62°, γ = 79.76°
Site moments in Bohr magnetons follow the coordinates.
Element x y z (fractional)
Br 0.4416 0.4416 0.0000  0.01
Br 0.0584 0.0584 0.0000  0.01
Ba 0.7500 0.2500 0.5000  0.21
Li 0.2500 0.7500 0.5000  0.03

## Properties
Raw formation energy ... -1.4312 eV/atom
SG ... Immm
Distance to the lowest polymorph of the same formula ... 22.9 kJ/mol of formula units
DFT total energy ... -12.91 eV per formula unit

---

Here is an optimized crystal structure of BaLiBr2 from the Alexandria database. Energies are from GGA-PBE.

a = 5.6724 Å, b = 5.6724 Å, c = 5.6724 Å
α = 60.00°, β = 60.00°, γ = 60.00°
Site moments in Bohr magnetons follow the coordinates.
Element x y z (fractional)
Br 0.0000 0.0000 0.0000  0.06
Br 0.2500 0.2500 0.2500  0.01
Li 0.7500 0.7500 0.7500  0.12
Ba 0.5000 0.5000 0.5000  0.13

## Properties
Raw formation energy ... -0.9990 eV/atom
SG ... F-43m
Distance to the lowest polymorph of the same formula ... 189.7 kJ/mol of formula units
DFT total energy ... -11.18 eV per formula unit

---

Here is an optimized crystal structure of BaLi2Br from the Alexandria database. Energies are from GGA-PBE.

a = 6.7208 Å, b = 4.5466 Å, c = 4.6156 Å
α = 89.33°, β = 90.00°, γ = 90.00°
Element x y z (fractional)
Ba 0.5000 0.2500 0.2500
Br 0.5000 0.7500 0.7500
Li 0.0000 0.5141 0.5112
Li 0.0000 0.9859 0.9888

## Properties
Raw formation energy ... -0.5797 eV/atom
SG ... P2/m
Distance to the lowest polymorph of the same formula ... 23.1 kJ/mol of formula units
DFT total energy ... -9.74 eV per formula unit

---

Here is an optimized crystal structure of BaLi2Br from the Alexandria database. Energies are from GGA-PBE.

a = 4.9349 Å, b = 4.9906 Å, c = 6.3954 Å
α = 90.00°, β = 90.00°, γ = 90.00°
Element x y z (fractional)
Br 0.5000 0.5000 0.7500
Li 0.0000 0.0000 0.0164
Li 0.0000 0.0000 0.4836
Ba 0.5000 0.5000 0.2500

## Properties
Raw formation energy ... -0.4432 eV/atom
SG ... Pmmm
Distance to the lowest polymorph of the same formula ... 75.7 kJ/mol of formula units
DFT total energy ... -9.20 eV per formula unit

---

Here is an optimized crystal structure of Ba2LiBr from the Alexandria database. Energies are from GGA-PBE.

a = 6.1458 Å, b = 6.1458 Å, c = 6.1458 Å
α = 60.00°, β = 60.00°, γ = 60.00°
Element x y z (fractional)
Li 0.0000 0.0000 0.0000
Ba 0.2500 0.2500 0.2500
Ba 0.7500 0.7500 0.7500
Br 0.5000 0.5000 0.5000

## Properties
Raw formation energy ... -0.5288 eV/atom
SG ... Fm-3m
Distance to the lowest polymorph of the same formula ... 63.5 kJ/mol of formula units
DFT total energy ... -9.55 eV per formula unit

---

Here is an optimized crystal structure of BaLiBr3 from the Alexandria database. Energies are from GGA-PBE.

a = 6.3045 Å, b = 6.3045 Å, c = 6.3045 Å
α = 90.00°, β = 90.00°, γ = 90.00°
Element x y z (fractional)
Br 0.0000 0.0000 0.5000
Br 0.0000 0.5000 0.0000
Br 0.5000 0.0000 0.0000
Ba 0.0000 0.0000 0.0000
Li 0.5000 0.5000 0.5000

## Properties
Raw formation energy ... -1.4933 eV/atom
SG ... Pm-3m
Distance to the lowest polymorph of the same formula ... 199.3 kJ/mol of formula units
DFT total energy ... -16.32 eV per formula unit

---

Here is an optimized crystal structure of BaLiBr3 from the Alexandria database. Energies are from GGA-PBE.

a = 5.6736 Å, b = 6.4696 Å, c = 9.7172 Å
α = 109.44°, β = 90.00°, γ = 90.00°
Element x y z (fractional)
Br 0.2500 0.6468 0.4062
Br 0.7500 0.2406 0.5938
Br 0.2500 0.5391 0.8551
Br 0.2500 0.1020 0.1301
Br 0.7500 0.6840 0.1449
Br 0.7500 0.9719 0.8699
Li 0.7500 0.5671 0.8554
Li 0.2500 0.7117 0.1446
Ba 0.2500 0.0100 0.7250
Ba 0.7500 0.2850 0.2750

## Properties
Raw formation energy ... -1.8775 eV/atom
SG ... Ama2
Distance to the lowest polymorph of the same formula ... 13.9 kJ/mol of formula units
DFT total energy ... -18.24 eV per formula unit

---

Here is an optimized crystal structure of Ba2LiBr from the Alexandria database. Energies are from GGA-PBE.

a = 4.5068 Å, b = 4.5068 Å, c = 10.1606 Å
α = 77.19°, β = 77.19°, γ = 60.00°
Site moments in Bohr magnetons follow the coordinates.
Element x y z (fractional)
Li 0.4992 0.4992 0.5023  0.01
Ba 0.0789 0.0789 0.7634  0.14
Ba 0.2540 0.2540 0.2381  -0.11
Br 0.6679 0.6679 0.9963  0.00

## Properties
Raw formation energy ... -0.6844 eV/atom
SG ... R3m
Distance to the lowest polymorph of the same formula ... 3.4 kJ/mol of formula units
DFT total energy ... -10.17 eV per formula unit

---

Here is an optimized crystal structure of Ba2LiBr2 from the Alexandria database. Energies are from GGA-PBE.

a = 5.3173 Å, b = 5.3173 Å, c = 9.0419 Å
α = 72.90°, β = 72.90°, γ = 90.00°
Element x y z (fractional)
Br 0.7500 0.2500 0.5000
Br 0.2500 0.7500 0.5000
Ba 0.6323 0.6323 0.7353
Ba 0.3677 0.3677 0.2647
Li 0.0000 0.0000 0.0000

## Properties
Raw formation energy ... -1.1645 eV/atom
SG ... I4/mmm
Distance to the lowest polymorph of the same formula ... 0.0 kJ/mol of formula units
DFT total energy ... -14.93 eV per formula unit

---

Here is an optimized crystal structure of Ba2LiBr from the Alexandria database. Energies are from GGA-PBE.

a = 9.1092 Å, b = 9.1092 Å, c = 7.9884 Å
α = 55.24°, β = 55.24°, γ = 90.00°
Element x y z (fractional)
Ba 0.3750 0.3514 0.7500
Ba 0.1014 0.6250 0.2500
Ba 0.6486 0.1250 0.2500
Ba 0.8750 0.8986 0.7500
Br 0.7500 0.2500 0.5000
Br 0.0000 0.0000 0.0000
Li 0.5000 0.5000 0.0000
Li 0.2500 0.7500 0.5000

## Properties
Raw formation energy ... -0.5831 eV/atom
SG ... I-42d
Distance to the lowest polymorph of the same formula ... 42.5 kJ/mol of formula units
DFT total energy ... -9.76 eV per formula unit

---

Here is an optimized crystal structure of BaLi2Br from the Alexandria database. Energies are from GGA-PBE.

a = 9.8369 Å, b = 9.8369 Å, c = 9.8369 Å
α = 23.77°, β = 23.77°, γ = 23.77°
Site moments in Bohr magnetons follow the coordinates.
Element x y z (fractional)
Li 0.0309 0.0309 0.0309  0.02
Li 0.4691 0.4691 0.4691  0.02
Ba 0.2500 0.2500 0.2500  0.12
Br 0.7500 0.7500 0.7500  0.02

## Properties
Raw formation energy ... -0.5521 eV/atom
SG ... R-3m
Distance to the lowest polymorph of the same formula ... 33.7 kJ/mol of formula units
DFT total energy ... -9.63 eV per formula unit

---

Here is an optimized crystal structure of BaLiBr2 from the Alexandria database. Energies are from GGA-PBE.

a = 7.2315 Å, b = 7.2315 Å, c = 7.2315 Å
α = 143.71°, β = 143.71°, γ = 52.26°
Element x y z (fractional)
Br 0.0000 0.0000 0.0000
Br 0.2500 0.7500 0.5000
Ba 0.7500 0.2500 0.5000
Li 0.5000 0.5000 0.0000

## Properties
Raw formation energy ... -1.2669 eV/atom
SG ... I-4m2
Distance to the lowest polymorph of the same formula ... 86.3 kJ/mol of formula units
DFT total energy ... -12.25 eV per formula unit

---

Here is an optimized crystal structure of BaLiBr2 from the Alexandria database. Energies are from GGA-PBE.

a = 6.8075 Å, b = 6.8075 Å, c = 8.1321 Å
α = 65.26°, β = 65.26°, γ = 90.00°
Site moments in Bohr magnetons follow the coordinates.
Element x y z (fractional)
Br 0.5288 0.1250 0.2500  0.02
Br 0.2212 0.6250 0.2500  0.02
Br 0.3750 0.4712 0.7500  0.02
Br 0.8750 0.7788 0.7500  0.02
Li 0.5000 0.5000 0.0000  0.01
Li 0.2500 0.7500 0.5000  0.01
Ba 0.0000 0.0000 0.0000  0.17
Ba 0.7500 0.2500 0.5000  0.17

## Properties
Raw formation energy ... -1.3811 eV/atom
SG ... I-42d
Distance to the lowest polymorph of the same formula ... 42.2 kJ/mol of formula units
DFT total energy ... -12.71 eV per formula unit